*w*
Density functional theory data (PBE-GGA) for an optimized crystal structure of LaWCl2.

- Calculated volume: 22.39 Å³/atom

Cell: 3.3902 4.6488 5.6819 Å, 90.00 90.00 90.00°
Space group Pmmm (No. 47)
Unique sites:
La: 0.0000 0.0000 0.0000 (multiplicity 1)
W: 0.5000 0.0000 0.5000 (multiplicity 1)
Cl: 0.0000 0.5000 0.5000 (multiplicity 1)
Cl: 0.5000 0.5000 0.0000 (multiplicity 1)


*x*
Density functional theory data (PBE-GGA) for an optimized crystal structure of LaWCl2.

- Calculated volume: 26.95 Å³/atom

Cell: 3.4264 3.4264 31.8090 Å, 90.00 90.00 120.00°
Space group R-3m (No. 166, hexagonal axes)
Unique sites:
La: 0.0000 0.0000 0.0000 (multiplicity 3)
W: 0.0000 0.0000 0.5000 (multiplicity 3)
Cl: 0.0000 0.0000 0.2684 (multiplicity 6)


*y*
Density functional theory data (PBE-GGA) for an optimized crystal structure of LaWCl2.

- Calculated volume: 22.03 Å³/atom

Cell: 7.0641 7.0641 7.0641 Å, 90.00 90.00 90.00°
Space group Fm-3m (No. 225)
Unique sites:
La: 0.0000 0.0000 0.0000 (multiplicity 4)
W: 0.0000 0.0000 0.5000 (multiplicity 4)
Cl: 0.2500 0.2500 0.2500 (multiplicity 8)


*z*
Density functional theory data (PBE-GGA) for an optimized crystal structure of LaWCl2.

- Calculated volume: 23.23 Å³/atom

Cell: 4.6960 4.6960 8.4274 Å, 90.00 90.00 90.00°
Space group I4/mmm (No. 139)
Unique sites:
La: 0.0000 0.0000 0.0000 (multiplicity 2)
W: 0.0000 0.0000 0.5000 (multiplicity 2)
Cl: 0.0000 0.5000 0.2500 (multiplicity 4)


The energy of each structure relative to the most stable one, in meV/atom, is as follows: *w* 0; *x* 163; *y* 232; *z* 205.


*w*
Density functional theory data (PBE-GGA) for an optimized crystal structure of LaWCl2.

- Calculated volume: 24.06 Å³/atom

Cell: 4.6662 4.6662 17.6789 Å, 90.00 90.00 90.00°
Space group I-42d (No. 122)
Unique sites:
La: 0.0000 0.0000 0.0000 (multiplicity 4)
W: 0.0000 0.0000 0.5000 (multiplicity 4)
Cl: 0.2054 0.2500 0.6250 (multiplicity 8)


*x*
Density functional theory data (PBE-GGA) for an optimized crystal structure of LaWCl2.

- Calculated volume: 24.26 Å³/atom

Cell: 3.2585 3.2585 9.1378 Å, 90.00 90.00 90.00°
Space group P4mm (No. 99)
Unique sites:
La: 0.0000 0.0000 0.0000 (multiplicity 1)
W: 0.5000 0.5000 0.2655 (multiplicity 1)
Cl: 0.0000 0.0000 0.4055 (multiplicity 1)
Cl: 0.5000 0.5000 0.7959 (multiplicity 1)


The energy of each structure relative to the most stable one, in meV/atom, is as follows: *w* 268; *x* 0.


*w*
Density functional theory data (PBE-GGA) for an optimized crystal structure of LaY3Cl.

- Calculated volume: 39.39 Å³/atom

Cell: 5.8179 5.8179 5.8179 Å, 90.00 90.00 90.00°
Space group Pm-3m (No. 221)
Unique sites:
La: 0.0000 0.0000 0.0000 (multiplicity 1)
Y: 0.0000 0.0000 0.5000 (multiplicity 3)
Cl: 0.5000 0.5000 0.5000 (multiplicity 1)


*x*
Density functional theory data (PBE-GGA) for an optimized crystal structure of LaY3Cl.

- Calculated volume: 30.84 Å³/atom

Cell: 5.3625 5.3625 5.3625 Å, 90.00 90.00 90.00°
Space group Pm-3m (No. 221)
Unique sites:
La: 0.0000 0.0000 0.0000 (multiplicity 1)
Y: 0.0000 0.5000 0.5000 (multiplicity 3)
Cl: 0.5000 0.5000 0.5000 (multiplicity 1)


The energy of each structure relative to the most stable one, in meV/atom, is as follows: *w* 1183; *x* 0.


*w*
Density functional theory data (PBE-GGA) for an optimized crystal structure of La3YCl.

- Calculated volume: 43.16 Å³/atom

Cell: 5.9982 5.9982 5.9982 Å, 90.00 90.00 90.00°
Space group Pm-3m (No. 221)
Unique sites:
La: 0.0000 0.0000 0.5000 (multiplicity 3)
Y: 0.0000 0.0000 0.0000 (multiplicity 1)
Cl: 0.5000 0.5000 0.5000 (multiplicity 1)


*x*
Density functional theory data (PBE-GGA) for an optimized crystal structure of La3YCl.

- Calculated volume: 34.65 Å³/atom

Cell: 5.5748 5.5748 5.5748 Å, 90.00 90.00 90.00°
Space group Pm-3m (No. 221)
Unique sites:
La: 0.0000 0.0000 0.5000 (multiplicity 3)
Y: 0.5000 0.5000 0.5000 (multiplicity 1)
Cl: 0.0000 0.0000 0.0000 (multiplicity 1)


The energy of each structure relative to the most stable one, in meV/atom, is as follows: *w* 970; *x* 0.


*w*
Density functional theory data (PBE-GGA) for an optimized crystal structure of LaYCl2.

- Calculated volume: 22.83 Å³/atom

Cell: 7.1407 7.1526 5.0464 Å, 90.00 134.88 90.00°
Space group C2/m (No. 12)
Unique sites:
La: 0.0000 0.0000 0.0000 (multiplicity 2)
Y: 0.0000 0.5000 0.0000 (multiplicity 2)
Cl: 0.0000 0.2501 0.5000 (multiplicity 4)


*x*
Density functional theory data (PBE-GGA) for an optimized crystal structure of LaYCl2.

- Calculated volume: 26.88 Å³/atom

Cell: 3.4741 6.5527 9.4474 Å, 90.00 90.00 90.00°
Space group Cmmm (No. 65)
Unique sites:
La: 0.0000 0.0000 0.0000 (multiplicity 2)
Y: 0.0000 0.0000 0.5000 (multiplicity 2)
Cl: 0.0000 0.5000 0.2601 (multiplicity 4)


The energy of each structure relative to the most stable one, in meV/atom, is as follows: *w* 241; *x* 0.


*w*
Density functional theory data (PBE-GGA) for an optimized crystal structure of LaY2Cl2.

- Calculated volume: 26.94 Å³/atom

Cell: 4.4283 4.4283 13.7396 Å, 90.00 90.00 90.00°
Space group I4/mmm (No. 139)
Unique sites:
La: 0.0000 0.0000 0.0000 (multiplicity 2)
Y: 0.0000 0.5000 0.2500 (multiplicity 4)
Cl: 0.0000 0.0000 0.3904 (multiplicity 4)


*x*
Density functional theory data (PBE-GGA) for an optimized crystal structure of LaY2Cl2.

- Calculated volume: 24.77 Å³/atom

Cell: 8.3297 8.3297 3.5707 Å, 90.00 90.00 90.00°
Space group P4/mbm (No. 127)
Unique sites:
La: 0.0000 0.0000 0.0000 (multiplicity 2)
Y: 0.1750 0.3250 0.5000 (multiplicity 4)
Cl: 0.1323 0.6323 0.0000 (multiplicity 4)


The energy of each structure relative to the most stable one, in meV/atom, is as follows: *w* 145; *x* 0.